No. 1
The following is a DFT calculation (GGA-PBE) of a relaxed structure of Nd2DyCdN.

Cell: 5.0778 5.0778 4.7780 Å, 90.00 90.00 90.00°
Last column: nearest neighbours and their distance in Å.
Space group P4/mmm (No. 123)
Symmetry-distinct sites (fractional):
Nd (0.0000, 0.5000, 0.0000)  2 N 2.54
Dy (0.0000, 0.0000, 0.5000)  2 N 2.39
Cd (0.5000, 0.5000, 0.5000)  8 Nd 3.49, 4 Dy 3.59
N (0.0000, 0.0000, 0.0000)  2 Dy 2.39, 4 Nd 2.54

Summary:
raw formation energy	-0.747	eV/atom
DOS at the Fermi energy	4.4	states/eV/cell
magnetization	0.0	μB per cell

No. 2
The following is a DFT calculation (GGA-PBE) of a relaxed structure of Sr3Si.

Cell: 3.8229 5.4334 15.8157 Å, 90.00 90.00 90.00°
Last column: nearest neighbours and their distance in Å.
Space group Immm (No. 71)
Symmetry-distinct sites (fractional):
Sr (0.0000, 0.0000, 0.0000)  4 Si 3.32
Sr (0.0000, 0.5000, 0.1638)  2 Si 3.22
Si (0.0000, 0.0000, 0.5000)  8 Sr 3.22-3.32

Summary:
raw formation energy	-0.126	eV/atom
E above lowest polymorph	50	meV per atom
DOS at the Fermi energy	7.5	states/eV/cell
magnetization	0.0	μB per cell

No. 3
The following is a DFT calculation (GGA-PBE) of a relaxed structure of CaYHg2.

Cell: 3.9255 3.9255 26.4226 Å, 90.00 90.00 120.00°
Last column: nearest neighbours and their distance in Å.
Space group R-3m (No. 166, hexagonal axes)
Symmetry-distinct sites (fractional):
Ca (0.0000, 0.0000, 0.0000)  6 Hg 3.21
Y (0.0000, 0.0000, 0.5000)  6 Hg 3.11
Hg (0.0000, 0.0000, 0.2473)  3 Y 3.11, 3 Ca 3.21

Summary:
energy of formation	-0.38	eV/atom
E above lowest polymorph	167	meV per atom
DOS at the Fermi energy	10.0	states/eV/cell
magnetization	0.0	μB per cell

No. 4
The following is a DFT calculation (GGA-PBE) of a relaxed structure of DyInHg.

Cell: 6.8837 6.8837 6.8837 Å, 90.00 90.00 90.00°
Last column: nearest neighbours and their distance in Å.
Space group F-43m (No. 216)
Symmetry-distinct sites (fractional):
Dy (0.0000, 0.0000, 0.0000)  4 Hg 2.98
In (0.0000, 0.0000, 0.5000)  4 Hg 2.98
Hg (0.2500, 0.2500, 0.2500)  4 In 2.98, 4 Dy 2.98

Summary:
energy of formation	-0.41	eV/atom
DOS at the Fermi energy	3.0	states/eV/cell
magnetization	0.0	μB per cell

No. 5
The following is a DFT calculation (GGA-PBE) of a relaxed structure of NiSb2PdRh.

Cell: 4.9204 4.9204 5.0607 Å, 90.00 90.00 90.00°
Last column: nearest neighbours and their distance in Å.
Space group P4/mmm (No. 123)
Symmetry-distinct sites (fractional):
Ni (0.0000, 0.0000, 0.0000)  4 Pd 3.48, 8 Sb 3.53
Sb (0.0000, 0.5000, 0.5000)  2 Rh 2.46
Pd (0.5000, 0.5000, 0.0000)  2 Rh 2.53
Rh (0.5000, 0.5000, 0.5000)  4 Sb 2.46, 2 Pd 2.53

Summary:
raw formation energy	0.814	eV/atom
DOS at the Fermi energy	10.6	states/eV/cell
magnetization	0.7	μB per cell

No. 6
The following is a DFT calculation (GGA-PBE) of a relaxed structure of GeSbTe2F.

Cell: 5.4731 5.4731 4.3414 Å, 90.00 90.00 90.00°
Last column: nearest neighbours and their distance in Å.
Space group P4/mmm (No. 123)
Symmetry-distinct sites (fractional):
Ge (0.0000, 0.0000, 0.0000)  8 Te 3.49, 4 Sb 3.87
Sb (0.5000, 0.5000, 0.0000)  2 F 2.17
Te (0.0000, 0.5000, 0.5000)  2 F 2.74
F (0.5000, 0.5000, 0.5000)  2 Sb 2.17

Summary:
raw formation energy	0.048	eV/atom
E above lowest polymorph	0	meV per atom
DOS at the Fermi energy	3.1	states/eV/cell
magnetization	0.0	μB per cell

No. 7
The following is a DFT calculation (GGA-PBE) of a relaxed structure of La6CoHg.

Cell: 6.2532 6.2547 6.8480 Å, 97.51 97.42 106.90°
Last column: nearest neighbours and their distance in Å.
Space group P-1 (No. 2)
Symmetry-distinct sites (fractional):
La (0.0622, 0.1886, 0.2212)  1 Co 2.70
La (0.2963, 0.7962, 0.3856)  1 Co 3.05, 1 La 3.10, 1 Hg 3.32
La (0.3112, 0.4374, 0.7791)  1 Co 2.70
Co (0.0000, 0.5000, 0.0000)  4 La 2.70
Hg (0.5000, 0.0000, 0.0000)  10 La 3.32-3.70

Summary:
energy of formation	-0.13	eV/atom
DOS at the Fermi energy	8.3	states/eV/cell
magnetization	0.0	μB per cell

No. 8
The following is a DFT calculation (GGA-PBE) of a relaxed structure of La4Nd5.

Cell: 11.1000 11.1000 5.2651 Å, 90.00 90.00 90.00°
Last column: nearest neighbours and their distance in Å.
Space group I4/mmm (No. 139)
Symmetry-distinct sites (fractional):
La (0.1668, 0.1668, 0.0000)  8 Nd 3.70-3.72, 4 La 3.70-3.71
Nd (0.0000, 0.0000, 0.5000)  4 Nd 3.71, 8 La 3.71
Nd (0.0000, 0.3342, 0.5000)  6 Nd 3.68-3.71, 6 La 3.70-3.72

Summary:
energy of formation	0.01	eV/atom
DOS at the Fermi energy	34.0	states/eV/cell
magnetization	0.0	μB per cell

No. 9
The following is a DFT calculation (GGA-PBE) of a relaxed structure of TbPuIn2O8.

Cell: 5.0459 6.7715 5.0492 Å, 90.00 90.97 90.00°
Last column: nearest neighbours and their distance in Å.
Space group P2/m (No. 10)
Symmetry-distinct sites (fractional):
Tb (0.0000, 0.0000, 0.0000)  6 O 2.20-2.32
Pu (0.0000, 0.5000, 0.0000)  6 O 1.99-2.10
In (0.5000, 0.2454, 0.5000)  6 O 2.14-2.28
O (0.1853, 0.2810, 0.8165)  1 Pu 1.99
O (0.2963, 0.5000, 0.2982)  1 Pu 2.10, 2 In 2.24
O (0.3092, 0.0000, 0.3114)  2 In 2.14, 1 Tb 2.20

Summary:
raw formation energy	-2.198	eV/atom
DOS at the Fermi energy	1.3	states/eV/cell
magnetization	1.0	μB per cell

No. 10
The following is a DFT calculation (GGA-PBE) of a relaxed structure of Hf3TiIn2.

Cell: 8.2630 3.1623 19.6980 Å, 90.00 90.00 90.00°
Last column: nearest neighbours and their distance in Å.
Space group Pnma (No. 62)
Symmetry-distinct sites (fractional):
Hf (0.9996, 0.2500, 0.1586)  6 Hf 3.01-3.16, 4 In 3.09-3.11
Hf (0.1334, 0.2500, 0.3012)  4 Hf 3.02-3.16, 6 In 3.02-3.14, 1 Ti 3.16
Hf (0.1341, 0.7500, 0.0413)  4 In 2.98-3.30, 6 Hf 3.01-3.17, 2 Ti 3.02
Ti (0.0581, 0.7500, 0.5601)  5 In 2.97-3.14, 4 Ti 3.00-3.16, 3 Hf 3.02-3.16
In (0.1841, 0.2500, 0.6871)  7 Hf 3.07-3.24, 2 Ti 3.14, 2 In 3.16
In (0.2442, 0.7500, 0.4234)  3 Ti 2.97-3.10, 7 Hf 2.98-3.30, 2 In 3.16

Summary:
energy of formation	-0.01	eV/atom
E above lowest polymorph	0	meV per atom
DOS at the Fermi energy	21.5	states/eV/cell
magnetization	0.0	μB per cell

No. 11
The following is a DFT calculation (GGA-PBE) of a relaxed structure of KPaB2O6.

Cell: 5.3600 5.3600 18.0197 Å, 90.00 90.00 120.00°
Last column: nearest neighbours and their distance in Å.
Space group R-3 (No. 148, hexagonal axes)
Symmetry-distinct sites (fractional):
K (0.0000, 0.0000, 0.0000)  6 O 2.93
Pa (0.0000, 0.0000, 0.5000)  6 O 2.18
B (0.0000, 0.0000, 0.2368)  3 O 1.38
O (0.0436, 0.5828, 0.9036)  1 B 1.38

Summary:
raw formation energy	-2.814	eV/atom
DOS at the Fermi energy	0.0	states/eV/cell
magnetization	0.0	μB per cell

No. 12
The following is a DFT calculation (GGA-PBE) of a relaxed structure of ReMo3Pd.

Cell: 4.7030 4.7030 4.7030 Å, 90.00 90.00 90.00°
Last column: nearest neighbours and their distance in Å.
Space group Pm-3m (No. 221)
Symmetry-distinct sites (fractional):
Re (0.0000, 0.0000, 0.0000)  6 Mo 2.35
Mo (0.0000, 0.0000, 0.5000)  2 Re 2.35
Pd (0.5000, 0.5000, 0.5000)  12 Mo 3.33

Summary:
energy of formation	1.62	eV/atom
E above lowest polymorph	0	meV per atom
DOS at the Fermi energy	4.6	states/eV/cell
magnetization	0.0	μB per cell

No. 13
The following is a DFT calculation (GGA-PBE) of a relaxed structure of DyLu2Ir.

Cell: 3.7549 3.7549 27.9239 Å, 90.00 90.00 120.00°
Last column: nearest neighbours and their distance in Å.
Space group R-3m (No. 166, hexagonal axes)
Symmetry-distinct sites (fractional):
Dy (0.0000, 0.0000, 0.0000)  6 Lu 3.73, 6 Dy 3.75
Lu (0.0000, 0.0000, 0.2245)  3 Ir 2.70
Ir (0.0000, 0.0000, 0.5000)  6 Lu 2.70

Summary:
energy of formation	-0.33	eV/atom
E above lowest polymorph	150	meV per atom
DOS at the Fermi energy	13.4	states/eV/cell
magnetization	0.0	μB per cell

No. 14
The following is a DFT calculation (GGA-PBE) of a relaxed structure of Ca2ScGaC.

Cell: 6.0604 6.0604 4.0242 Å, 90.00 90.00 90.00°
Last column: nearest neighbours and their distance in Å.
Space group P4/mmm (No. 123)
Symmetry-distinct sites (fractional):
Ca (0.0000, 0.5000, 0.0000)  2 Sc 3.03
Sc (0.0000, 0.0000, 0.0000)  2 C 2.01
Ga (0.5000, 0.5000, 0.5000)  8 Ca 3.64, 2 Ga 4.02
C (0.0000, 0.0000, 0.5000)  2 Sc 2.01

Summary:
energy of formation	0.89	eV/atom
DOS at the Fermi energy	6.1	states/eV/cell
magnetization	0.0	μB per cell

No. 15
The following is a DFT calculation (GGA-PBE) of a relaxed structure of Pm3Ho5Er.

Cell: 8.6994 8.6994 15.4054 Å, 90.00 90.00 90.00°
Last column: nearest neighbours and their distance in Å.
Space group I4/mcm (No. 140)
Symmetry-distinct sites (fractional):
Pm (0.0000, 0.0000, 0.2500)  10 Ho 3.56-3.85
Pm (0.1164, 0.3836, 0.0000)  1 Pm 2.86, 2 Ho 3.01
Ho (0.0000, 0.0000, 0.0000)  6 Pm 3.49-3.85, 8 Ho 3.77
Ho (0.2102, 0.2898, 0.3622)  1 Pm 3.01, 1 Er 3.11
Er (0.0000, 0.5000, 0.2500)  4 Ho 3.11

Summary:
energy of formation	0.27	eV/atom
E above lowest polymorph	0	meV per atom
DOS at the Fermi energy	42.5	states/eV/cell
magnetization	0.0	μB per cell

No. 16
The following is a DFT calculation (GGA-PBE) of a relaxed structure of KI2Br8.

Cell: 16.5129 7.7520 9.1621 Å, 90.00 119.11 90.00°
Last column: nearest neighbours and their distance in Å.
Space group C2/m (No. 12)
Symmetry-distinct sites (fractional):
K (0.0000, 0.0000, 0.0000)  2 Br 3.30
I (0.1511, 0.0000, 0.6035)  3 Br 2.70-2.77
Br (0.0569, 0.5000, 0.9290)  3 Br 2.76-2.85
Br (0.1080, 0.2519, 0.7584)  1 I 2.70, 1 Br 2.85
Br (0.1987, 0.0000, 0.3528)  1 I 2.77

Summary:
raw formation energy	-0.234	eV/atom
DOS at the Fermi energy	7.8	states/eV/cell
magnetization	0.0	μB per cell

No. 17
The following is a DFT calculation (GGA-PBE) of a relaxed structure of Cr2SbAs.

Cell: 3.2214 3.2214 7.0544 Å, 90.00 90.00 90.00°
Last column: nearest neighbours and their distance in Å.
Space group P4/mmm (No. 123)
Symmetry-distinct sites (fractional):
Cr (0.0000, 0.0000, 0.2065)  4 As 2.70, 1 Cr 2.91
Sb (0.5000, 0.5000, 0.5000)  8 Cr 3.08, 4 Sb 3.22
As (0.5000, 0.5000, 0.0000)  8 Cr 2.70

Summary:
raw formation energy	0.289	eV/atom
DOS at the Fermi energy	2.6	states/eV/cell
magnetization	6.8	μB per cell

No. 18
The following is a DFT calculation (GGA-PBE) of a relaxed structure of TiInAs3.

Cell: 4.9383 4.9383 4.9383 Å, 90.00 90.00 90.00°
Last column: nearest neighbours and their distance in Å.
Space group Pm-3m (No. 221)
Symmetry-distinct sites (fractional):
Ti (0.0000, 0.0000, 0.0000)  6 As 2.47
In (0.5000, 0.5000, 0.5000)  12 As 3.49
As (0.0000, 0.0000, 0.5000)  2 Ti 2.47

Summary:
energy of formation	0.01	eV/atom
E above lowest polymorph	0	meV per atom
DOS at the Fermi energy	4.6	states/eV/cell
magnetization	0.0	μB per cell

No. 19
The following is a DFT calculation (GGA-PBE) of a relaxed structure of PaZn4Au5.

Cell: 3.2371 3.2371 16.7124 Å, 90.00 90.00 90.00°
Last column: nearest neighbours and their distance in Å.
Space group P4/mmm (No. 123)
Symmetry-distinct sites (fractional):
Pa (0.0000, 0.0000, 0.0000)  8 Au 3.11, 4 Pa 3.24
Zn (0.0000, 0.0000, 0.2190)  8 Au 2.77-2.78
Zn (0.0000, 0.0000, 0.4067)  8 Au 2.77
Au (0.5000, 0.5000, 0.1257)  4 Zn 2.77
Au (0.5000, 0.5000, 0.3132)  8 Zn 2.77-2.78
Au (0.5000, 0.5000, 0.5000)  8 Zn 2.77

Summary:
energy of formation	-0.24	eV/atom
DOS at the Fermi energy	5.3	states/eV/cell
magnetization	0.7	μB per cell

No. 20
The following is a DFT calculation (GGA-PBE) of a relaxed structure of Nd2Y3Ir2.

Cell: 12.3825 3.8253 9.1195 Å, 90.00 116.62 90.00°
Last column: nearest neighbours and their distance in Å.
Space group C2/m (No. 12)
Symmetry-distinct sites (fractional):
Nd (0.1677, 0.0000, 0.3065)  2 Ir 2.91
Y (0.0000, 0.5000, 0.5000)  4 Ir 2.98
Y (0.1195, 0.5000, 0.9293)  3 Ir 2.85-2.95
Ir (0.1740, 0.0000, 0.7409)  5 Y 2.85-2.98, 2 Nd 2.91

Summary:
energy of formation	-0.57	eV/atom
DOS at the Fermi energy	15.5	states/eV/cell
magnetization	0.0	μB per cell